CsSrNi2C | PBE-GGA | relaxed

extended XYZ file:
```
5
Lattice="-3.0709 -3.4245 -1.0804 -0.2052 -2.0495 7.0798 -3.5884 2.9787 0.7583" Properties=species:S:1:pos:R:3 pbc="T T T"
Cs 0.0000 0.0000 0.0000
Sr -0.1026 -1.0247 3.5399
C -3.4323 -1.2476 3.3789
Ni -1.7942 1.4894 0.3791
Ni -1.5355 -1.7122 -0.5402
```

Output
- Symmetry: No. 123
- Calculated formation energy: 2.461 eV per atom

---

CsY2NiC | PBE-GGA | relaxed

extended XYZ file:
```
5
Lattice="5.6503 0.0000 0.0000 0.0000 4.3515 0.0000 0.0000 0.0000 5.6503" Properties=species:S:1:pos:R:3 pbc="T T T"
Cs 0.0000 0.0000 0.0000
Y 0.0000 0.0000 2.8252
Y 2.8252 0.0000 0.0000
C 0.0000 2.1757 0.0000
Ni 2.8252 2.1757 2.8252
```

Output
- Symmetry: No. 123
- Calculated formation energy: 2.296 eV per atom

---

Cs4CO4 | PBE-GGA | relaxed

extended XYZ file:
```
9
Lattice="-3.2770 3.2770 5.4257 3.2770 -3.2770 5.4257 3.2770 3.2770 -5.4257" Properties=species:S:1:pos:R:3 pbc="T T T"
Cs 1.4552 1.4552 3.8678
Cs 1.8218 1.8218 -1.5580
Cs -1.4552 1.4552 6.9837
Cs 1.4552 -1.4552 6.9837
C 0.0000 0.0000 0.0000
O 2.4542 2.4542 6.2791
O 0.8228 0.8228 0.8534
O -2.4542 2.4542 4.5723
O 2.4542 -2.4542 4.5723
```

Output
- Symmetry: No. 121
- Polymorph energy (0 for the lowest one): 16 meV per atom
- E_form (uncorrected): -1256 meV/atom

---

CsCO2 | PBE-GGA | relaxed

extended XYZ file:
```
8
Lattice="-4.4687 3.0448 0.4842 -0.5323 -1.6018 5.1600 -0.3514 3.6936 3.9664" Properties=species:S:1:pos:R:3 pbc="T T T"
Cs 0.0000 0.0000 0.0000
Cs -3.6603 3.7300 3.6363
C -2.5005 0.7215 2.8221
C -1.6921 1.4066 5.9742
O -1.8309 1.8655 1.8182
O -2.0956 1.0636 4.3981
O -2.2720 2.9111 6.3805
O -4.5065 4.4330 6.6243
```

Output
- Symmetry: No. 227
- E_form (uncorrected): -90 meV/atom

---

Cs4CO4 | PBE-GGA | relaxed

extended XYZ file:
```
9
Lattice="-6.3202 -3.9321 1.1869 -4.1406 -5.3210 -3.3701 1.2368 -6.9040 2.6956" Properties=species:S:1:pos:R:3 pbc="T T T"
Cs -3.1892 -5.9305 -0.4507
Cs -5.5045 -10.5645 -0.1457
Cs -6.9052 -6.4625 -0.1276
Cs -3.1912 -9.1386 2.4643
C -4.2241 -5.2677 -3.1955
O -5.7067 -10.4829 2.7619
O -5.1794 -4.6151 1.2258
O -2.7148 -10.9481 0.2121
O -5.1875 -6.0511 -2.4630
```

Output
- Symmetry: No. 5
- Polymorph energy (0 for the lowest one): 0 meV per atom
- E_form (uncorrected): -1271 meV/atom

---

Cs2C2O | PBE-GGA | relaxed

extended XYZ file:
```
10
Lattice="-4.7335 -5.9110 -2.9700 5.3583 -5.5677 2.5412 -2.0469 -0.2520 3.7639" Properties=species:S:1:pos:R:3 pbc="T T T"
Cs 1.7971 -5.5087 3.0554
Cs -0.3168 -8.7269 1.6904
Cs -3.2193 -6.2221 0.2796
Cs -1.1054 -3.0038 1.6447
C 2.9571 -7.8914 1.0797
C -1.4989 -8.6760 -1.3961
C -2.3324 -3.5873 -1.5086
C 2.1237 -2.8027 0.9673
O 0.0000 0.0000 0.0000
O 0.3124 -5.7393 -0.2144
```

Output
- Symmetry: No. 127
- E_form (uncorrected): 588 meV/atom

---

CsCO2 | PBE-GGA | relaxed

extended XYZ file:
```
32
Lattice="6.7068 -0.0292 0.0000 -1.0912 8.7098 0.0000 0.0000 0.0000 11.1991" Properties=species:S:1:pos:R:3 pbc="T T T"
Cs 4.2155 4.5044 8.9261
Cs 4.7611 0.1495 7.8726
Cs 1.4000 4.1763 2.2730
Cs 0.6288 7.2231 10.2529
Cs 1.1744 2.8682 6.5457
Cs 0.8544 8.5312 3.3265
Cs 4.9867 1.4576 0.9461
Cs 4.4411 5.8125 4.6534
C 0.7745 2.9219 9.9754
C 1.8232 1.9553 10.5490
C 0.2289 7.2768 6.8233
C 4.8411 5.7588 1.2237
C 4.3380 2.3704 4.9494
C 5.3867 1.4039 4.3758
C 3.7924 6.7254 0.6501
C 1.2776 6.3103 6.2497
O 3.9988 7.1879 10.6758
O 4.5444 2.8330 6.1228
O 1.0712 5.8477 5.0762
O 1.6168 1.4928 0.5233
O 1.0259 4.1659 10.0430
O 2.2720 6.0313 6.9953
O -0.2629 2.3858 9.4587
O 5.8785 6.2949 1.7404
O 2.7979 7.0043 1.3957
O 5.1353 0.1599 4.4434
O 0.4803 8.5208 6.7557
O 4.5897 4.5148 1.1561
O -0.8085 6.7407 7.3399
O 3.3435 2.6493 4.2038
O 6.4241 1.9400 3.8591
O 2.8176 1.6764 9.8033
```

Output
- Symmetry: No. 14
- E_form (uncorrected): -1559 meV/atom

---

CsCO2 | PBE-GGA | relaxed

extended XYZ file:
```
16
Lattice="-0.9927 -2.2521 -2.2795 1.8551 -4.8530 3.9868 -12.6053 -0.1705 5.6577" Properties=species:S:1:pos:R:3 pbc="T T T"
Cs -4.1889 -5.5167 3.5720
Cs -1.6545 -3.0434 0.0247
Cs -7.5540 -1.7589 3.7930
Cs -10.0884 -4.2322 7.3403
C -4.4895 -2.0469 2.7431
C -7.2534 -5.2287 4.6219
C -0.2970 -4.4292 3.2711
C -11.4459 -2.8464 4.0939
O -0.3293 -5.3268 1.7035
O -11.4137 -1.9488 5.6615
O -5.6190 -2.9593 1.6679
O -6.1240 -4.3163 5.6970
O -10.6445 -2.4062 3.3100
O -3.3616 -2.4609 2.6610
O -8.3813 -4.8147 4.7040
O -1.0984 -4.8694 4.0550
```

Output
- Symmetry: No. 62
- E_form (uncorrected): -663 meV/atom

---

Cs2CO3 | PBE-GGA | relaxed

extended XYZ file:
```
24
Lattice="10.5936 0.0023 -0.0049 -0.0011 6.2594 -0.0780 0.0039 0.7378 8.1833" Properties=species:S:1:pos:R:3 pbc="T T T"
C 4.4164 4.8866 2.1187
C 9.7139 1.7448 1.8889
C 6.1799 2.1130 5.9824
C 0.8824 5.2547 6.2123
Cs 8.3122 5.0418 4.1717
Cs 3.0182 2.3270 8.0212
Cs 2.2842 1.9578 3.9293
Cs 7.5781 4.6726 0.0799
Cs 4.4175 5.2286 5.4330
Cs 9.7145 2.1407 6.7582
Cs 6.1789 1.7710 2.6679
Cs 0.8818 4.8589 1.3428
O 5.6782 4.8968 2.4744
O 0.3819 1.7330 1.5370
O 4.9182 2.1028 5.6267
O 10.2145 5.2666 6.5641
O 3.7197 5.9929 2.1813
O 9.0177 0.6382 1.8272
O 6.8767 1.0067 5.9199
O 1.5787 6.3614 6.2739
O 3.8567 3.7731 1.7301
O 9.1540 2.8581 2.2777
O 6.7397 3.2264 6.3711
O 1.4424 4.1414 5.8235
```

Output
- Symmetry: No. 14
- E_form (uncorrected): -1732 meV/atom

---

Cs4CO4 | PBE-GGA | relaxed

extended XYZ file:
```
9
Lattice="-0.7112 6.1613 -0.9344 -6.2202 -0.6446 0.4839 0.3794 0.9815 6.1833" Properties=species:S:1:pos:R:3 pbc="T T T"
Cs -5.0397 4.9983 4.4096
Cs -1.3081 2.0283 4.6521
Cs -4.8610 1.1529 1.5838
Cs -1.8952 4.8169 0.8202
C -3.2760 3.2491 2.8664
O -2.4062 2.3864 2.1054
O -4.2465 3.8512 1.9858
O -2.4943 4.2829 3.4990
O -3.9570 2.4759 3.8756
```

Output
- Symmetry: No. 215
- Polymorph energy (0 for the lowest one): 37 meV per atom
- E_form (uncorrected): -1234 meV/atom

---

CsC2O | PBE-GGA | relaxed

extended XYZ file:
```
8
Lattice="-1.6353 -3.5518 1.0967 3.6010 -1.8110 -0.4956 2.6821 -1.2577 7.4452" Properties=species:S:1:pos:R:3 pbc="T T T"
Cs 0.0000 0.0000 0.0000
Cs 1.0148 -3.7454 4.4212
C 0.5074 -1.8727 2.2106
C 2.3079 -2.7782 1.9628
C 3.6490 -3.4070 5.6854
C 2.8313 -5.1829 6.2338
O 0.9828 -2.6814 0.3006
O 3.6330 -2.8750 3.6251
```

Output
- Symmetry: No. 141
- E_form (uncorrected): 2111 meV/atom

---

Cs2CO4 | PBE-GGA | relaxed

extended XYZ file:
```
14
Lattice="6.1636 0.0000 0.0000 0.0000 7.4984 -1.8021 0.0000 -0.3745 7.7028" Properties=species:S:1:pos:R:3 pbc="T T T"
Cs 4.6227 6.5926 3.3680
Cs 1.5409 4.5366 5.8503
Cs 1.5409 0.5313 2.5328
Cs 4.6227 2.5874 0.0505
C 4.6227 6.1124 -0.1287
C 1.5409 1.0116 6.0295
O 4.6227 5.4680 6.2215
O 1.5409 7.1307 4.2140
O 1.5409 1.6560 -0.3207
O 4.6227 -0.0068 1.6868
O 5.6885 5.5461 0.5550
O 0.4751 1.5779 5.3458
O 3.5569 5.5461 0.5550
O 2.6067 1.5779 5.3458
```

Output
- Symmetry: No. 63
- Polymorph energy (0 for the lowest one): 11 meV per atom
- E_form (uncorrected): -1184 meV/atom

---

Total magnetization? In order: 2.2; 0.0; 0.0; 0.0; 0.1; 4.0; 0.0; 0.9; 0.0; 0.1; 0.0; 4.0 μB per cell.
Volume? In order: 32.92; 27.79; 25.90; 14.16; 27.99; 28.40; 20.43; 18.97; 22.64; 27.42; 15.42; 25.13 A^3/atom.